<one>
# K2TcCl5

A relaxed structure of K2TcCl5 (GGA-PBE, the Alexandria database).

a = 7.405 Å, b = 7.405 Å, c = 6.867 Å
α = 122.64°, β = 122.63°, γ = 90.00°
Fractional coordinates of all 8 atoms:
Cl 0.238 0.784 0.022
Cl 0.784 0.238 0.022
Tc 0.986 0.986 0.971
Cl 0.784 0.784 0.022
K 0.758 0.258 0.515
K 0.258 0.758 0.515
Cl 0.238 0.238 0.022
Cl 0.731 0.731 0.463

**SG**: I4mm (107)
**Theoretical density**: 2.4 Mg/m³
**Total magnetization**: 1.97 μB/f.u.
**V**: 243.6 Å³/f.u.
**D(E_F)**: 0.982 states/eV per atom


<two>
# K2TcCl5

A relaxed structure of K2TcCl5 (GGA-PBE, the Alexandria database).

a = 4.999 Å, b = 7.585 Å, c = 7.582 Å
α = 89.40°, β = 76.43°, γ = 76.39°
Fractional coordinates of all 8 atoms:
K 0.668 0.037 0.596
Cl 0.028 0.792 0.248
Cl 0.860 0.261 0.261
K 0.669 0.597 0.037
Cl 0.524 0.028 0.028
Cl 0.197 0.788 0.788
Tc 0.025 0.027 0.027
Cl 0.028 0.247 0.792

**SG**: Cm (8)
**Theoretical density**: 2.2 Mg/m³
**Total magnetization**: 2.87 μB/f.u.
**V**: 271.3 Å³/f.u.
**D(E_F)**: 0.342 states/eV per atom


Which structure is most stable? <two>, by 7.6 kJ/mol of atoms over the runner-up.


<one>
# KTeCl2

A relaxed structure of KTeCl2 (GGA-PBE, the Alexandria database).

a = 4.144 Å, b = 7.764 Å, c = 4.167 Å
α = 90.00°, β = 90.00°, γ = 90.00°
Fractional coordinates of all 4 atoms:
K 0.500 0.000 0.500
Cl 0.000 0.000 0.000
Cl 0.500 0.500 0.000
Te 0.000 0.500 0.500

**SG**: Pmmm (47)
**Theoretical density**: 2.9 Mg/m³
**Total magnetization**: 0.00 μB/f.u.
**V**: 134.1 Å³/f.u.
**D(E_F)**: 0.935 states/eV per atom


<two>
# KTeCl2

A relaxed structure of KTeCl2 (GGA-PBE, the Alexandria database).

a = 9.216 Å, b = 9.216 Å, c = 9.216 Å
α = 26.80°, β = 26.80°, γ = 26.80°
Fractional coordinates of all 4 atoms:
K 0.500 0.500 0.500
Cl 0.098 0.098 0.098
Cl 0.902 0.902 0.902
Te 0.000 0.000 0.000

**SG**: R-3m (166)
**Theoretical density**: 2.8 Mg/m³
**Total magnetization**: 0.00 μB/f.u.
**V**: 140.3 Å³/f.u.
**D(E_F)**: 0.742 states/eV per atom


Which structure is most stable? <two>, by 19.0 kJ/mol of atoms over the runner-up.


<one>
# K2TeCl

A relaxed structure of K2TeCl (GGA-PBE, the Alexandria database).

a = 7.673 Å, b = 7.673 Å, c = 7.673 Å
α = 144.05°, β = 144.05°, γ = 51.76°
Fractional coordinates of all 4 atoms:
K 0.250 0.750 0.500
Te 0.500 0.500 0.000
K 0.000 0.000 0.000
Cl 0.750 0.250 0.500

**SG**: I-4m2 (119)
**Theoretical density**: 2.6 Mg/m³
**Total magnetization**: 1.02 μB/f.u.
**V**: 154.8 Å³/f.u.
**D(E_F)**: 0.887 states/eV per atom


<two>
# K2TeCl

A relaxed structure of K2TeCl (GGA-PBE, the Alexandria database).

a = 5.851 Å, b = 5.851 Å, c = 5.851 Å
α = 60.00°, β = 60.00°, γ = 60.00°
Fractional coordinates of all 4 atoms:
K 0.750 0.750 0.750
Te 0.500 0.500 0.500
Cl 0.000 0.000 0.000
K 0.250 0.250 0.250

**SG**: Fm-3m (225)
**Theoretical density**: 2.8 Mg/m³
**Total magnetization**: 1.00 μB/f.u.
**V**: 141.6 Å³/f.u.
**D(E_F)**: 2.400 states/eV per atom


Which structure is most stable? <two>, by 2.8 kJ/mol of atoms over the runner-up.


<one>
# KTeCl4

A relaxed structure of KTeCl4 (GGA-PBE, the Alexandria database).

a = 7.561 Å, b = 7.639 Å, c = 8.460 Å
α = 108.93°, β = 108.57°, γ = 106.52°
Fractional coordinates of all 12 atoms:
Te 0.848 0.098 0.196
Cl 0.479 0.237 0.051
K 0.374 0.624 0.249
Cl 0.197 0.381 0.448
Cl 0.521 0.763 0.949
Cl 0.751 0.067 0.448
Cl 0.072 0.814 0.051
Cl 0.928 0.186 0.949
Cl 0.249 0.933 0.552
Cl 0.803 0.619 0.552
Te 0.152 0.902 0.804
K 0.626 0.376 0.751

**SG**: C2/c (15)
**Theoretical density**: 2.6 Mg/m³
**Total magnetization**: 0.00 μB/f.u.
**V**: 197.6 Å³/f.u.
**D(E_F)**: 0.144 states/eV per atom


<two>
# KTeCl4

A relaxed structure of KTeCl4 (GGA-PBE, the Alexandria database).

a = 6.293 Å, b = 6.293 Å, c = 6.293 Å
α = 60.00°, β = 60.00°, γ = 60.00°
Fractional coordinates of all 6 atoms:
Cl 0.375 0.375 0.875
Cl 0.375 0.875 0.375
K 0.750 0.750 0.750
Cl 0.875 0.375 0.375
Cl 0.375 0.375 0.375
Te 0.000 0.000 0.000

**SG**: F-43m (216)
**Theoretical density**: 2.9 Mg/m³
**Total magnetization**: 5.04 μB/f.u.
**V**: 176.2 Å³/f.u.
**D(E_F)**: 0.226 states/eV per atom


Which structure is most stable? <one>, by 95.2 kJ/mol of atoms over the runner-up.


<one>
# K2TeCl5

A relaxed structure of K2TeCl5 (GGA-PBE, the Alexandria database).

a = 7.507 Å, b = 7.507 Å, c = 7.162 Å
α = 121.60°, β = 121.60°, γ = 90.00°
Fractional coordinates of all 8 atoms:
Cl 0.251 0.767 0.018
Cl 0.729 0.729 0.457
Cl 0.767 0.767 0.018
Te 0.015 0.015 0.030
K 0.249 0.749 0.497
K 0.749 0.249 0.497
Cl 0.251 0.251 0.018
Cl 0.767 0.251 0.018

**SG**: I4mm (107)
**Theoretical density**: 2.3 Mg/m³
**Total magnetization**: 1.02 μB/f.u.
**V**: 271.0 Å³/f.u.
**D(E_F)**: 0.050 states/eV per atom


<two>
# K2TeCl5

A relaxed structure of K2TeCl5 (GGA-PBE, the Alexandria database).

a = 6.057 Å, b = 7.957 Å, c = 13.790 Å
α = 90.00°, β = 90.00°, γ = 112.37°
Fractional coordinates of all 16 atoms:
Cl 0.054 0.108 0.121
K 0.161 0.321 0.920
Te 0.824 0.648 0.750
K 0.839 0.679 0.420
K 0.839 0.679 0.080
Cl 0.702 0.404 0.608
Cl 0.693 0.385 0.250
Cl 0.054 0.108 0.379
Cl 0.946 0.892 0.879
Te 0.176 0.352 0.250
Cl 0.702 0.404 0.892
Cl 0.298 0.596 0.392
Cl 0.307 0.615 0.750
Cl 0.298 0.596 0.108
Cl 0.946 0.892 0.621
K 0.161 0.321 0.580

**SG**: Cmcm (63)
**Theoretical density**: 2.1 Mg/m³
**Total magnetization**: 0.00 μB/f.u.
**V**: 307.3 Å³/f.u.
**D(E_F)**: 0.187 states/eV per atom


Which structure is most stable? <two>, by 7.8 kJ/mol of atoms over the runner-up.


<one>
# K3TeCl

A relaxed structure of K3TeCl (GGA-PBE, the Alexandria database).

a = 4.861 Å, b = 9.170 Å, c = 9.295 Å
α = 96.01°, β = 90.00°, γ = 90.00°
Fractional coordinates of all 10 atoms:
K 0.515 0.266 0.310
K 0.015 0.502 0.073
Te 0.015 0.523 0.460
K 0.515 0.562 0.724
K 0.515 0.782 0.365
K 0.015 0.205 0.659
Te 0.515 0.245 0.923
K 0.015 0.986 0.018
Cl 0.015 0.023 0.358
Cl 0.515 0.744 0.025

**SG**: P2_1/m (11)
**Theoretical density**: 2.3 Mg/m³
**Total magnetization**: 0.00 μB/f.u.
**V**: 206.0 Å³/f.u.


<two>
# K3TeCl

A relaxed structure of K3TeCl (GGA-PBE, the Alexandria database).

a = 5.845 Å, b = 5.845 Å, c = 5.845 Å
α = 90.00°, β = 90.00°, γ = 90.00°
Fractional coordinates of all 5 atoms:
K 0.000 0.500 0.000
K 0.000 0.000 0.500
K 0.500 0.000 0.000
Te 0.500 0.500 0.500
Cl 0.000 0.000 0.000

**SG**: Pm-3m (221)
**Theoretical density**: 2.3 Mg/m³
**Total magnetization**: 0.00 μB/f.u.
**V**: 199.7 Å³/f.u.
**D(E_F)**: 0.000 states/eV per atom


Which structure is most stable? <one>, by 7.8 kJ/mol of atoms over the runner-up.


<one>
# KTe3Cl

A relaxed structure of KTe3Cl (GGA-PBE, the Alexandria database).

a = 6.046 Å, b = 6.046 Å, c = 6.046 Å
α = 90.00°, β = 90.00°, γ = 90.00°
Fractional coordinates of all 5 atoms:
Te 0.000 0.000 0.500
Te 0.500 0.000 0.000
Te 0.000 0.500 0.000
Cl 0.500 0.500 0.500
K 0.000 0.000 0.000

**SG**: Pm-3m (221)
**Theoretical density**: 3.4 Mg/m³
**Total magnetization**: 0.00 μB/f.u.
**V**: 221.1 Å³/f.u.
**D(E_F)**: 0.730 states/eV per atom


<two>
# KTe3Cl

A relaxed structure of KTe3Cl (GGA-PBE, the Alexandria database).

a = 5.567 Å, b = 5.567 Å, c = 5.567 Å
α = 90.00°, β = 90.00°, γ = 90.00°
Fractional coordinates of all 5 atoms:
Te 0.500 0.000 0.000
Cl 0.000 0.000 0.000
K 0.500 0.500 0.500
Te 0.000 0.000 0.500
Te 0.000 0.500 0.000

**SG**: Pm-3m (221)
**Theoretical density**: 4.4 Mg/m³
**Total magnetization**: 0.00 μB/f.u.
**V**: 172.5 Å³/f.u.
**D(E_F)**: 0.768 states/eV per atom


Which structure is most stable? <two>, by 74.5 kJ/mol of atoms over the runner-up.


<one>
# K2TiCl5

A relaxed structure of K2TiCl5 (GGA-PBE, the Alexandria database).

a = 6.962 Å, b = 9.106 Å, c = 14.212 Å
α = 90.00°, β = 90.00°, γ = 90.00°
Fractional coordinates of all 32 atoms:
Ti 0.250 0.179 0.056
Cl 0.750 0.726 0.106
K 0.250 0.162 0.415
Cl 0.500 0.500 0.500
Cl 0.500 0.000 0.000
Cl 0.250 0.274 0.894
Ti 0.250 0.679 0.444
Cl 0.750 0.226 0.394
K 0.750 0.338 0.915
Cl 0.250 0.046 0.202
K 0.250 0.451 0.701
Cl 0.504 0.159 0.605
Cl 0.004 0.341 0.105
K 0.750 0.549 0.299
Cl 0.004 0.841 0.395
Cl 0.504 0.659 0.895
K 0.750 0.838 0.585
Cl 0.250 0.546 0.298
K 0.750 0.049 0.201
K 0.250 0.662 0.085
Cl 0.000 0.000 0.000
Ti 0.750 0.321 0.556
Cl 0.750 0.454 0.702
Cl 0.000 0.500 0.500
Cl 0.750 0.954 0.798
Cl 0.250 0.774 0.606
Cl 0.496 0.841 0.395
Cl 0.996 0.159 0.605
Cl 0.996 0.659 0.895
Ti 0.750 0.821 0.944
Cl 0.496 0.341 0.105
K 0.250 0.951 0.799

**SG**: Pnma (62)
**Theoretical density**: 2.2 Mg/m³
**Total magnetization**: 1.00 μB/f.u.
**V**: 225.2 Å³/f.u.
**D(E_F)**: 0.609 states/eV per atom


<two>
# K2TiCl5

A relaxed structure of K2TiCl5 (GGA-PBE, the Alexandria database).

a = 7.594 Å, b = 7.596 Å, c = 6.916 Å
α = 123.33°, β = 123.30°, γ = 90.00°
Fractional coordinates of all 8 atoms:
Cl 0.805 0.241 0.046
Cl 0.706 0.707 0.412
Ti 0.960 0.960 0.921
Cl 0.804 0.804 0.045
K 0.260 0.760 0.520
Cl 0.241 0.241 0.046
Cl 0.240 0.804 0.045
K 0.760 0.260 0.520

**SG**: I4mm (107)
**Theoretical density**: 2.0 Mg/m³
**Total magnetization**: 1.00 μB/f.u.
**V**: 251.3 Å³/f.u.
**D(E_F)**: 0.310 states/eV per atom


Which structure is most stable? <one>, by 3.4 kJ/mol of atoms over the runner-up.


<one>
# K2TiCl

A relaxed structure of K2TiCl (GGA-PBE, the Alexandria database).

a = 9.157 Å, b = 9.157 Å, c = 7.763 Å
α = 53.86°, β = 53.86°, γ = 90.00°
Fractional coordinates of all 8 atoms:
Ti 0.750 0.250 0.500
Cl 0.250 0.750 0.500
K 0.553 0.125 0.250
Cl 0.500 0.500 0.000
K 0.375 0.447 0.750
Ti 0.000 0.000 0.000
K 0.875 0.803 0.750
K 0.197 0.625 0.250

**SG**: I-42d (122)
**Theoretical density**: 1.5 Mg/m³
**Total magnetization**: 3.01 μB/f.u.
**V**: 179.5 Å³/f.u.
**D(E_F)**: 0.241 states/eV per atom


<two>
# K2TiCl

A relaxed structure of K2TiCl (GGA-PBE, the Alexandria database).

a = 6.085 Å, b = 6.085 Å, c = 6.085 Å
α = 60.00°, β = 60.00°, γ = 60.00°
Fractional coordinates of all 4 atoms:
Cl 0.000 0.000 0.000
K 0.750 0.750 0.750
Ti 0.500 0.500 0.500
K 0.250 0.250 0.250

**SG**: Fm-3m (225)
**Theoretical density**: 1.7 Mg/m³
**Total magnetization**: 3.00 μB/f.u.
**V**: 159.3 Å³/f.u.
**D(E_F)**: 1.072 states/eV per atom


Which structure is most stable? <one>, by 12.6 kJ/mol of atoms over the runner-up.


<one>
# KTlCl

A relaxed structure of KTlCl (GGA-PBE, the Alexandria database).

a = 4.205 Å, b = 4.205 Å, c = 7.223 Å
α = 90.00°, β = 90.00°, γ = 120.00°
Fractional coordinates of all 3 atoms:
Cl 0.000 0.000 0.038
Tl 0.333 0.667 0.694
K 0.667 0.333 0.269

**SG**: P3m1 (156)
**Theoretical density**: 4.2 Mg/m³
**Total magnetization**: 0.00 μB/f.u.
**V**: 110.6 Å³/f.u.
**D(E_F)**: 0.659 states/eV per atom


<two>
# KTlCl

A relaxed structure of KTlCl (GGA-PBE, the Alexandria database).

a = 5.444 Å, b = 5.444 Å, c = 5.444 Å
α = 60.00°, β = 60.00°, γ = 60.00°
Fractional coordinates of all 3 atoms:
Cl 0.750 0.750 0.750
K 0.000 0.000 0.000
Tl 0.500 0.500 0.500

**SG**: F-43m (216)
**Theoretical density**: 4.1 Mg/m³
**Total magnetization**: 0.80 μB/f.u.
**V**: 114.1 Å³/f.u.
**D(E_F)**: 0.676 states/eV per atom


Which structure is most stable? <one>, by 9.1 kJ/mol of atoms over the runner-up.


<one>
# KTlCl

A relaxed structure of KTlCl (GGA-PBE, the Alexandria database).

a = 5.426 Å, b = 5.426 Å, c = 4.033 Å
α = 90.00°, β = 90.00°, γ = 120.00°
Fractional coordinates of all 3 atoms:
Cl 0.000 0.000 0.836
Tl 0.333 0.667 0.833
K 0.667 0.333 0.332

**SG**: P3m1 (156)
**Theoretical density**: 4.5 Mg/m³
**Total magnetization**: 0.00 μB/f.u.
**V**: 102.8 Å³/f.u.
**D(E_F)**: 0.464 states/eV per atom


<two>
# KTlCl

A relaxed structure of KTlCl (GGA-PBE, the Alexandria database).

a = 4.373 Å, b = 4.373 Å, c = 11.143 Å
α = 90.00°, β = 90.00°, γ = 90.00°
Fractional coordinates of all 6 atoms:
Tl 0.500 0.000 0.052
Tl 0.000 0.500 0.948
Cl 0.000 0.500 0.640
Cl 0.500 0.000 0.360
K 0.500 0.000 0.646
K 0.000 0.500 0.354

**SG**: P4/nmm (129)
**Theoretical density**: 4.3 Mg/m³
**Total magnetization**: 0.00 μB/f.u.
**V**: 106.6 Å³/f.u.
**D(E_F)**: 0.425 states/eV per atom


Which structure is most stable? <two>, by 37.1 kJ/mol of atoms over the runner-up.


<one>
# KTl2Cl4

A relaxed structure of KTl2Cl4 (GGA-PBE, the Alexandria database).

a = 7.594 Å, b = 7.594 Å, c = 5.149 Å
α = 90.00°, β = 90.00°, γ = 90.00°
Fractional coordinates of all 7 atoms:
Tl 0.500 0.000 0.500
Cl 0.243 0.757 0.695
Tl 0.000 0.500 0.500
Cl 0.757 0.243 0.695
Cl 0.243 0.243 0.305
K 0.000 0.000 0.000
Cl 0.757 0.757 0.305

**SG**: P-42m (111)
**Theoretical density**: 3.3 Mg/m³
**Total magnetization**: 0.00 μB/f.u.
**V**: 296.9 Å³/f.u.
**D(E_F)**: 0.493 states/eV per atom


<two>
# KTl2Cl4

A relaxed structure of KTl2Cl4 (GGA-PBE, the Alexandria database).

a = 9.630 Å, b = 8.173 Å, c = 9.055 Å
α = 71.20°, β = 51.76°, γ = 60.48°
Fractional coordinates of all 14 atoms:
Tl 0.250 0.375 0.125
Cl 0.221 0.631 0.369
Cl 0.866 0.494 0.856
Cl 0.279 0.119 0.881
Cl 0.284 0.605 0.744
Tl 0.750 0.875 0.625
Cl 0.634 0.256 0.395
Cl 0.216 0.145 0.506
Cl 0.836 0.688 0.312
Tl 0.250 0.375 0.625
K 0.540 0.745 0.254
Tl 0.750 0.375 0.625
Cl 0.664 0.062 0.938
K 0.960 0.005 0.996

**SG**: C2/m (12)
**Theoretical density**: 4.0 Mg/m³
**Total magnetization**: 0.00 μB/f.u.
**V**: 243.4 Å³/f.u.
**D(E_F)**: 0.000 states/eV per atom


Which structure is most stable? <two>, by 11.7 kJ/mol of atoms over the runner-up.